A relaxed Tb2PmTm crystal. Source: the Alexandria database, functional PBE-GGA.

Calculated values
* energy: -71.57 eV/cell
* DOS at the Fermi energy: 2.4969 states/eV/atom
* crystal system: cubic
* energy relative to the elements: 147.5 meV per atom

Geometry as CIF:
```
data_Tb2PmTm
_chemical_formula_sum 'Tb8 Pm4 Tm4'
_symmetry_space_group_name_H-M 'F m -3 m'
_symmetry_Int_Tables_number 225
_symmetry_space_group_name_Hall '-F 4 2 3'
_cell_length_a 8.037
_cell_length_b 8.037
_cell_length_c 8.037
_cell_angle_alpha 90.00
_cell_angle_beta 90.00
_cell_angle_gamma 90.00
loop_
_atom_site_label
_atom_site_type_symbol
_atom_site_fract_x
_atom_site_fract_y
_atom_site_fract_z
Tb1 Tb 0.250 0.250 0.250
Pm1 Pm 0.000 0.000 0.000
Tm1 Tm 0.000 0.000 0.500
```